No. 1
## Ba2Sr3Ca9 (PBE)

Data for crystalline Ba2Sr3Ca9 at its relaxed geometry.

Geometry as CIF:
```
data_Ba2Sr3Ca9
_cell_length_a 6.497
_cell_length_b 12.025
_cell_length_c 17.658
_cell_angle_alpha 90.00
_cell_angle_beta 90.00
_cell_angle_gamma 90.00
_symmetry_space_group_name_H-M 'I m m m'
_symmetry_Int_Tables_number 71
_symmetry_space_group_name_Hall '-I 2 2'
loop_
_atom_site_label
_atom_site_fract_x
_atom_site_fract_y
_atom_site_fract_z
_atom_site_occupancy
Ba1 0.000 0.000 0.189 1
Sr1 0.000 0.185 0.000 1
Sr2 0.000 0.500 0.000 1
Ca1 0.000 0.169 0.396 1
Ca2 0.000 0.341 0.215 1
Ca3 0.000 0.500 0.500 1
```

Formation energy from the elements, eV per atom: 0.0916
E_tot, eV/cell: -51.2
Density, g cm⁻³: 2.2

No. 2
## Be2CuRu (PBE)

Data for crystalline Be2CuRu at its relaxed geometry.

Geometry as CIF:
```
data_Be2CuRu
_cell_length_a 3.736
_cell_length_b 3.736
_cell_length_c 2.951
_cell_angle_alpha 90.00
_cell_angle_beta 90.00
_cell_angle_gamma 90.00
_symmetry_space_group_name_H-M 'P 4/m m m'
_symmetry_Int_Tables_number 123
_symmetry_space_group_name_Hall '-P 4 2'
loop_
_atom_site_label
_atom_site_fract_x
_atom_site_fract_y
_atom_site_fract_z
_atom_site_occupancy
Be1 0.000 0.500 0.000 1
Cu1 0.000 0.000 0.500 1
Ru1 0.500 0.500 0.500 1
```

Formation energy from the elements, eV per atom: -0.3047
E_tot, eV/cell: -22.0
Polymorph energy (0 for the lowest one), meV per atom: 0
Density, g cm⁻³: 7.4

No. 3
## AlAgSb2Rh (PBE)

Data for crystalline AlAgSb2Rh at its relaxed geometry.

Geometry as CIF:
```
data_AlAgSb2Rh
_cell_length_a 5.172
_cell_length_b 5.172
_cell_length_c 5.078
_cell_angle_alpha 90.00
_cell_angle_beta 90.00
_cell_angle_gamma 90.00
_symmetry_space_group_name_H-M 'P 4/m m m'
_symmetry_Int_Tables_number 123
_symmetry_space_group_name_Hall '-P 4 2'
loop_
_atom_site_label
_atom_site_fract_x
_atom_site_fract_y
_atom_site_fract_z
_atom_site_occupancy
Al1 0.000 0.000 0.000 1
Ag1 0.500 0.500 0.500 1
Sb1 0.000 0.500 0.500 1
Rh1 0.500 0.500 0.000 1
```

E_tot, eV/cell: -17.2
Polymorph energy (0 for the lowest one), meV per atom: 39
Density, g cm⁻³: 5.9

No. 4
## La3Er5Tm3 (PBE)

Data for crystalline La3Er5Tm3 at its relaxed geometry.

Geometry as CIF:
```
data_La3Er5Tm3
_cell_length_a 11.1942
_cell_length_b 11.1942
_cell_length_c 3.4185
_cell_angle_alpha 90.00
_cell_angle_beta 90.00
_cell_angle_gamma 120.00
_symmetry_space_group_name_H-M 'P -6 2 m'
_symmetry_Int_Tables_number 189
_symmetry_space_group_name_Hall 'P -6 -2'
loop_
_atom_site_label
_atom_site_fract_x
_atom_site_fract_y
_atom_site_fract_z
_atom_site_occupancy
La1 0.0000 0.6617 0.0000 1
Er1 0.0000 0.1604 0.0000 1
Er2 0.3333 0.6667 0.0000 1
Tm1 0.0000 0.4061 0.5000 1
```

Formation energy from the elements, eV per atom: 0.3366
E_tot, eV/cell: -47.3
Density, g cm⁻³: 7.9

No. 5
## TbNd6Er12 (PBE)

Data for crystalline TbNd6Er12 at its relaxed geometry.

Geometry as CIF:
```
data_TbNd6Er12
_cell_length_a 13.2076
_cell_length_b 13.2076
_cell_length_c 12.6036
_cell_angle_alpha 90.00
_cell_angle_beta 90.00
_cell_angle_gamma 120.00
_symmetry_space_group_name_H-M 'R -3 m'
_symmetry_Int_Tables_number 166
_symmetry_space_group_name_Hall '-R 3 2"'
loop_
_atom_site_label
_atom_site_fract_x
_atom_site_fract_y
_atom_site_fract_z
_atom_site_occupancy
Tb1 0.0000 0.0000 0.0000 1
Nd1 0.0385 0.5192 0.6172 1
Er1 0.0000 0.2563 0.5000 1
Er2 0.0913 0.1826 0.2640 1
```

Formation energy from the elements, eV per atom: 0.2184
E_tot, eV/cell: -251.5
Polymorph energy (0 for the lowest one), meV per atom: 95
Density, g cm⁻³: 7.9

No. 6
## HoSbC (PBE)

Data for crystalline HoSbC at its relaxed geometry.

Geometry as CIF:
```
data_HoSbC
_cell_length_a 4.315
_cell_length_b 5.126
_cell_length_c 12.751
_cell_angle_alpha 90.00
_cell_angle_beta 90.00
_cell_angle_gamma 90.00
_symmetry_space_group_name_H-M 'I m m m'
_symmetry_Int_Tables_number 71
_symmetry_space_group_name_Hall '-I 2 2'
loop_
_atom_site_label
_atom_site_fract_x
_atom_site_fract_y
_atom_site_fract_z
_atom_site_occupancy
Ho1 0.000 0.000 0.146 1
Sb1 0.000 0.000 0.383 1
C1 0.147 0.500 0.500 1
```

E_tot, eV/cell: -70.7
Density, g cm⁻³: 7.0

No. 7
## Cs2Na2Sb (PBE)

Data for crystalline Cs2Na2Sb at its relaxed geometry.

Geometry as CIF:
```
data_Cs2Na2Sb
_cell_length_a 5.3789
_cell_length_b 5.3789
_cell_length_c 34.5744
_cell_angle_alpha 90.00
_cell_angle_beta 90.00
_cell_angle_gamma 120.00
_symmetry_space_group_name_H-M 'R -3 m'
_symmetry_Int_Tables_number 166
_symmetry_space_group_name_Hall '-R 3 2"'
loop_
_atom_site_label
_atom_site_fract_x
_atom_site_fract_y
_atom_site_fract_z
_atom_site_occupancy
Cs1 0.0000 0.0000 0.0724 1
Na1 0.0000 0.0000 0.1837 1
Sb1 0.0000 0.0000 0.5000 1
```

E_tot, eV/cell: -29.9
Density, g cm⁻³: 2.5

No. 8
## CsTl2InPb2 (PBE)

Data for crystalline CsTl2InPb2 at its relaxed geometry.

Geometry as CIF:
```
data_CsTl2InPb2
_cell_length_a 5.4017
_cell_length_b 5.4017
_cell_length_c 9.0217
_cell_angle_alpha 90.00
_cell_angle_beta 90.00
_cell_angle_gamma 120.00
_symmetry_space_group_name_H-M 'P -3 m 1'
_symmetry_Int_Tables_number 164
_symmetry_space_group_name_Hall '-P 3 2"'
loop_
_atom_site_label
_atom_site_fract_x
_atom_site_fract_y
_atom_site_fract_z
_atom_site_occupancy
Cs1 0.0000 0.0000 0.0000 1
Tl1 0.3333 0.6667 0.7416 1
In1 0.0000 0.0000 0.5000 1
Pb1 0.3333 0.6667 0.3744 1
```

Formation energy from the elements, eV per atom: -0.0343
E_tot, eV/cell: -15.9
Density, g cm⁻³: 7.8

No. 9
## ZrFe2P (PBE)

Data for crystalline ZrFe2P at its relaxed geometry.

Geometry as CIF:
```
data_ZrFe2P
_cell_length_a 3.812
_cell_length_b 3.812
_cell_length_c 7.698
_cell_angle_alpha 90.00
_cell_angle_beta 90.00
_cell_angle_gamma 90.00
_symmetry_space_group_name_H-M 'I -4 m 2'
_symmetry_Int_Tables_number 119
_symmetry_space_group_name_Hall 'I -4 -2'
loop_
_atom_site_label
_atom_site_fract_x
_atom_site_fract_y
_atom_site_fract_z
_atom_site_occupancy
Zr1 0.000 0.000 0.000 1
Fe1 0.000 0.000 0.500 1
Fe2 0.000 0.500 0.750 1
P1 0.000 0.500 0.250 1
```

Formation energy from the elements, eV per atom: -0.2037
E_tot, eV/cell: -63.4
Density, g cm⁻³: 6.9

No. 10
## YGe3Pd3 (PBE)

Data for crystalline YGe3Pd3 at its relaxed geometry.

Geometry as CIF:
```
data_YGe3Pd3
_cell_length_a 6.783
_cell_length_b 6.783
_cell_length_c 6.783
_cell_angle_alpha 90.00
_cell_angle_beta 90.00
_cell_angle_gamma 90.00
_symmetry_space_group_name_H-M 'P m -3 n'
_symmetry_Int_Tables_number 223
_symmetry_space_group_name_Hall '-P 4n 2 3'
loop_
_atom_site_label
_atom_site_fract_x
_atom_site_fract_y
_atom_site_fract_z
_atom_site_occupancy
Y1 0.000 0.000 0.000 1
Ge1 0.000 0.250 0.500 1
Pd1 0.000 0.500 0.250 1
```

Formation energy from the elements, eV per atom: -0.2075
E_tot, eV/cell: -74.7
Polymorph energy (0 for the lowest one), meV per atom: 238
Density, g cm⁻³: 6.7

No. 11
## Be2AlCl (PBE)

Data for crystalline Be2AlCl at its relaxed geometry.

Geometry as CIF:
```
data_Be2AlCl
_cell_length_a 5.031
_cell_length_b 7.581
_cell_length_c 3.521
_cell_angle_alpha 90.00
_cell_angle_beta 114.16
_cell_angle_gamma 90.00
_symmetry_space_group_name_H-M 'C 1 2/m 1'
_symmetry_Int_Tables_number 12
loop_
_symmetry_equiv_pos_as_xyz
'x,y,z'
'-x,-y,-z'
'-x,y,-z'
'x,-y,z'
'x+1/2,y+1/2,z'
'-x+1/2,-y+1/2,-z'
'-x+1/2,y+1/2,-z'
'x+1/2,-y+1/2,z'
loop_
_atom_site_label
_atom_site_fract_x
_atom_site_fract_y
_atom_site_fract_z
_atom_site_occupancy
Be1 0.250 0.250 0.000 1
Al1 0.000 0.000 0.500 1
Cl1 0.000 0.500 0.500 1
```

E_tot, eV/cell: -21.7
Polymorph energy (0 for the lowest one), meV per atom: 570
Density, g cm⁻³: 2.2

No. 12
## Sb3As5Pb12 (PBE)

Data for crystalline Sb3As5Pb12 at its relaxed geometry.

Geometry as CIF:
```
data_Sb3As5Pb12
_cell_length_a 17.863
_cell_length_b 17.863
_cell_length_c 17.863
_cell_angle_alpha 90.00
_cell_angle_beta 90.00
_cell_angle_gamma 90.00
_symmetry_space_group_name_H-M 'I a -3 d'
_symmetry_Int_Tables_number 230
_symmetry_space_group_name_Hall '-I 4bd 2c 3'
loop_
_atom_site_label
_atom_site_fract_x
_atom_site_fract_y
_atom_site_fract_z
_atom_site_occupancy
Sb1 0.000 0.250 0.125 1
As1 0.000 0.000 0.000 1
As2 0.000 0.250 0.375 1
Pb1 0.016 0.067 0.653 1
```

E_tot, eV/cell: -625.0
Density, g cm⁻³: 7.5

No. 13
## RbLiNpI5 (PBE)

Data for crystalline RbLiNpI5 at its relaxed geometry.

Geometry as CIF:
```
data_RbLiNpI5
_cell_length_a 10.338
_cell_length_b 13.848
_cell_length_c 11.584
_cell_angle_alpha 90.00
_cell_angle_beta 113.77
_cell_angle_gamma 90.00
_symmetry_space_group_name_H-M 'C 1 2/c 1'
_symmetry_Int_Tables_number 15
loop_
_symmetry_equiv_pos_as_xyz
'x,y,z'
'-x,-y,-z'
'-x,y,-z+1/2'
'x,-y,z+1/2'
'x+1/2,y+1/2,z'
'-x+1/2,-y+1/2,-z'
'-x+1/2,y+1/2,-z+1/2'
'x+1/2,-y+1/2,z+1/2'
loop_
_atom_site_label
_atom_site_fract_x
_atom_site_fract_y
_atom_site_fract_z
_atom_site_occupancy
Rb1 0.000 0.145 0.250 1
Li1 0.000 0.192 0.750 1
Np1 0.000 0.500 0.000 1
I1 0.000 0.415 0.250 1
I2 0.117 0.297 0.612 1
I3 0.191 0.068 0.936 1
```

E_tot, eV/cell: -129.3
Density, g cm⁻³: 4.2

No. 14
## K2LiY (PBE)

Data for crystalline K2LiY at its relaxed geometry.

Geometry as CIF:
```
data_K2LiY
_cell_length_a 3.617
_cell_length_b 6.710
_cell_length_c 7.002
_cell_angle_alpha 90.00
_cell_angle_beta 96.09
_cell_angle_gamma 90.00
_symmetry_space_group_name_H-M 'P 1 2/m 1'
_symmetry_Int_Tables_number 10
loop_
_symmetry_equiv_pos_as_xyz
'x,y,z'
'-x,-y,-z'
'-x,y,-z'
'x,-y,z'
loop_
_atom_site_label
_atom_site_fract_x
_atom_site_fract_y
_atom_site_fract_z
_atom_site_occupancy
K1 0.192 0.000 0.256 1
Li1 0.000 0.500 0.500 1
Y1 0.500 0.500 0.000 1
```

Formation energy from the elements, eV per atom: 0.4489
E_tot, eV/cell: -8.8
Density, g cm⁻³: 1.7

No. 15
## CaBe4Pt (PBE)

Data for crystalline CaBe4Pt at its relaxed geometry.

Geometry as CIF:
```
data_CaBe4Pt
_cell_length_a 6.590
_cell_length_b 6.590
_cell_length_c 6.590
_cell_angle_alpha 90.00
_cell_angle_beta 90.00
_cell_angle_gamma 90.00
_symmetry_space_group_name_H-M 'F -4 3 m'
_symmetry_Int_Tables_number 216
_symmetry_space_group_name_Hall 'F -4 2 3'
loop_
_atom_site_label
_atom_site_fract_x
_atom_site_fract_y
_atom_site_fract_z
_atom_site_occupancy
Ca1 0.000 0.000 0.000 1
Be1 0.122 0.122 0.378 1
Pt1 0.250 0.250 0.750 1
```

Formation energy from the elements, eV per atom: -0.2610
E_tot, eV/cell: -98.1
Density, g cm⁻³: 6.3

No. 16
## Tb5Tl4Pb (PBE)

Data for crystalline Tb5Tl4Pb at its relaxed geometry.

Geometry as CIF:
```
data_Tb5Tl4Pb
_cell_length_a 3.654
_cell_length_b 3.654
_cell_length_c 20.717
_cell_angle_alpha 90.00
_cell_angle_beta 90.00
_cell_angle_gamma 90.00
_symmetry_space_group_name_H-M 'P 4/m m m'
_symmetry_Int_Tables_number 123
_symmetry_space_group_name_Hall '-P 4 2'
loop_
_atom_site_label
_atom_site_fract_x
_atom_site_fract_y
_atom_site_fract_z
_atom_site_occupancy
Tb1 0.000 0.000 0.000 1
Tb2 0.000 0.000 0.199 1
Tb3 0.000 0.000 0.398 1
Tl1 0.500 0.500 0.099 1
Tl2 0.500 0.500 0.297 1
Pb1 0.500 0.500 0.500 1
```

Formation energy from the elements, eV per atom: -0.3705
E_tot, eV/cell: -40.0
Density, g cm⁻³: 10.9

No. 17
## CePm2Mg (PBE)

Data for crystalline CePm2Mg at its relaxed geometry.

Geometry as CIF:
```
data_CePm2Mg
_cell_length_a 7.890
_cell_length_b 7.890
_cell_length_c 7.890
_cell_angle_alpha 90.00
_cell_angle_beta 90.00
_cell_angle_gamma 90.00
_symmetry_space_group_name_H-M 'F m -3 m'
_symmetry_Int_Tables_number 225
_symmetry_space_group_name_Hall '-F 4 2 3'
loop_
_atom_site_label
_atom_site_fract_x
_atom_site_fract_y
_atom_site_fract_z
_atom_site_occupancy
Ce1 0.000 0.000 0.000 1
Pm1 0.250 0.250 0.250 1
Mg1 0.000 0.000 0.500 1
```

Formation energy from the elements, eV per atom: 0.1356
E_tot, eV/cell: -65.9
Polymorph energy (0 for the lowest one), meV per atom: 140
Density, g cm⁻³: 6.1

No. 18
## CaPmTl (PBE)

Data for crystalline CaPmTl at its relaxed geometry.

Geometry as CIF:
```
data_CaPmTl
_cell_length_a 17.487
_cell_length_b 3.960
_cell_length_c 5.491
_cell_angle_alpha 90.00
_cell_angle_beta 90.01
_cell_angle_gamma 90.00
_symmetry_space_group_name_H-M 'C 1 2/m 1'
_symmetry_Int_Tables_number 12
loop_
_symmetry_equiv_pos_as_xyz
'x,y,z'
'-x,-y,-z'
'-x,y,-z'
'x,-y,z'
'x+1/2,y+1/2,z'
'-x+1/2,-y+1/2,-z'
'-x+1/2,y+1/2,-z'
'x+1/2,-y+1/2,z'
loop_
_atom_site_label
_atom_site_fract_x
_atom_site_fract_y
_atom_site_fract_z
_atom_site_occupancy
Ca1 0.078 0.000 0.249 1
Pm1 0.227 0.000 0.750 1
Tl1 0.081 0.500 0.749 1
```

Formation energy from the elements, eV per atom: -0.2781
E_tot, eV/cell: -39.8
Polymorph energy (0 for the lowest one), meV per atom: 86
Density, g cm⁻³: 6.8

No. 19
## Ba4NaRhAu (PBE)

Data for crystalline Ba4NaRhAu at its relaxed geometry.

Geometry as CIF:
```
data_Ba4NaRhAu
_cell_length_a 7.611
_cell_length_b 7.556
_cell_length_c 11.134
_cell_angle_alpha 90.00
_cell_angle_beta 110.06
_cell_angle_gamma 90.00
_symmetry_space_group_name_H-M 'P 1 21/m 1'
_symmetry_Int_Tables_number 11
loop_
_symmetry_equiv_pos_as_xyz
'x,y,z'
'-x,-y,-z'
'-x,y+1/2,-z'
'x,-y+1/2,z'
loop_
_atom_site_label
_atom_site_fract_x
_atom_site_fract_y
_atom_site_fract_z
_atom_site_occupancy
Ba1 0.023 0.005 0.315 1
Ba2 0.407 0.250 0.099 1
Ba3 0.461 0.250 0.623 1
Na1 0.138 0.750 0.023 1
Rh1 0.347 0.250 0.341 1
Au1 0.266 0.750 0.576 1
```

Formation energy from the elements, eV per atom: -0.2295
E_tot, eV/cell: -42.5
Density, g cm⁻³: 4.8

No. 20
## Rb2HgBr (PBE)

Data for crystalline Rb2HgBr at its relaxed geometry.

Geometry as CIF:
```
data_Rb2HgBr
_cell_length_a 9.478
_cell_length_b 9.478
_cell_length_c 9.452
_cell_angle_alpha 90.00
_cell_angle_beta 90.00
_cell_angle_gamma 90.00
_symmetry_space_group_name_H-M 'I -4 2 d'
_symmetry_Int_Tables_number 122
_symmetry_space_group_name_Hall 'I -4 2bw'
loop_
_atom_site_label
_atom_site_fract_x
_atom_site_fract_y
_atom_site_fract_z
_atom_site_occupancy
Rb1 0.214 0.250 0.125 1
Hg1 0.000 0.000 0.500 1
Br1 0.000 0.000 0.000 1
```

E_tot, eV/cell: -28.5
Polymorph energy (0 for the lowest one), meV per atom: 158
Density, g cm⁻³: 3.5

No. 21
## CaTbPdPb (PBE)

Data for crystalline CaTbPdPb at its relaxed geometry.

Geometry as CIF:
```
data_CaTbPdPb
_cell_length_a 7.401
_cell_length_b 7.401
_cell_length_c 7.401
_cell_angle_alpha 90.00
_cell_angle_beta 90.00
_cell_angle_gamma 90.00
_symmetry_space_group_name_H-M 'F -4 3 m'
_symmetry_Int_Tables_number 216
_symmetry_space_group_name_Hall 'F -4 2 3'
loop_
_atom_site_label
_atom_site_fract_x
_atom_site_fract_y
_atom_site_fract_z
_atom_site_occupancy
Ca1 0.000 0.000 0.000 1
Tb1 0.000 0.000 0.500 1
Pd1 0.250 0.250 0.250 1
Pb1 0.250 0.250 0.750 1
```

Formation energy from the elements, eV per atom: -0.5956
E_tot, eV/cell: -71.7
Density, g cm⁻³: 8.4